# 1
First-principles (PBE-GGA) data for crystalline NaLiAl2 at its relaxed geometry, as listed in the Alexandria database.

Formation energy (eV per atom): 0.19
Distance to the lowest polymorph of the same formula (kJ/mol of formula units): 0.0
Calculated volume (Å³ per atom): 19.6
Total moment (μB per cell): 0.00
Energy (Ry per atom): -0.1830

Cell: 4.800 4.800 4.800 Å, 60.00 60.00 60.00°
Positions (direct):
Na  0.500  0.500  0.500
Al  0.250  0.250  0.250
Al  0.750  0.750  0.750
Li  0.000  0.000  0.000

=====

# 2
First-principles (PBE-GGA) data for crystalline MgCo2Cl at its relaxed geometry, as listed in the Alexandria database.

Distance to the lowest polymorph of the same formula (kJ/mol of formula units): 203.6
Calculated volume (Å³ per atom): 15.6
Total moment (μB per cell): 3.94
Formation energy without anion corrections (eV/atom): 0.456
Energy (Ry per atom): -0.2908

Cell: 5.032 5.032 2.884 Å, 90.00 90.00 121.09°
Last column: magnetic moment on the atom in μB.
Positions (direct):
Cl  0.000  0.500  0.500  0.16
Co  0.000  0.000  0.000  1.90
Co  0.500  0.500  0.000  1.90
Mg  0.500  0.000  0.500  -0.01

=====

# 3
First-principles (PBE-GGA) data for crystalline CrTcHg2 at its relaxed geometry, as listed in the Alexandria database.

Formation energy (eV per atom): 0.66
Distance to the lowest polymorph of the same formula (kJ/mol of formula units): 127.0
Calculated volume (Å³ per atom): 17.9
Total moment (μB per cell): 4.22
Energy (Ry per atom): -0.3301

Cell: 6.623 5.045 2.949 Å, 89.93 63.68 121.78°
Last column: magnetic moment on the atom in μB.
Positions (direct):
Cr  0.500  0.500  0.000  3.51
Hg  0.000  0.000  0.000  0.00
Hg  0.500  0.000  0.500  0.00
Tc  0.000  0.500  0.500  0.36

=====

# 4
First-principles (PBE-GGA) data for crystalline CeSm2DyP4 at its relaxed geometry, as listed in the Alexandria database.

Formation energy (eV per atom): -1.57
Calculated volume (Å³ per atom): 23.9
Total moment (μB per cell): 0.39
Energy (Ry per atom): -0.4977

Cell: 4.076 7.047 7.058 Å, 109.39 90.00 90.00°
Last column: magnetic moment on the atom in μB.
Positions (direct):
Ce  0.500  0.500  0.000  0.35
Sm  0.500  0.000  0.500  0.01
Sm  0.000  0.500  0.500  0.00
Dy  0.000  0.000  0.000  0.00
P  0.500  0.248  0.244  -0.01
P  0.500  0.752  0.756  -0.01
P  0.000  0.251  0.755  -0.01
P  0.000  0.749  0.245  -0.01

=====

# 5
First-principles (PBE-GGA) data for crystalline Pa4Si3SnRh12 at its relaxed geometry, as listed in the Alexandria database.

Calculated volume (Å³ per atom): 19.0
Total moment (μB per cell): 4.54
Formation energy without anion corrections (eV/atom): -0.249
Energy (Ry per atom): -0.5566

Cell: 7.900 7.900 7.900 Å, 109.47 109.47 109.47°
Last column: magnetic moment on the atom in μB.
Positions (direct):
Pa  0.500  0.500  0.500  0.88
Pa  0.000  0.000  0.500  0.88
Pa  0.500  0.000  0.000  0.88
Pa  0.000  0.500  0.000  0.88
Si  0.500  0.000  0.500  0.00
Si  0.500  0.500  0.000  0.00
Si  0.000  0.500  0.500  0.00
Sn  0.000  0.000  0.000  0.01
Rh  0.250  0.500  0.750  0.04
Rh  0.734  0.000  0.734  0.06
Rh  0.266  0.000  0.266  0.06
Rh  0.750  0.500  0.250  0.04
Rh  0.734  0.734  0.000  0.06
Rh  0.266  0.266  0.000  0.06
Rh  0.750  0.250  0.500  0.04
Rh  0.250  0.750  0.500  0.04
Rh  0.500  0.250  0.750  0.04
Rh  0.000  0.734  0.734  0.06
Rh  0.500  0.750  0.250  0.04
Rh  0.000  0.266  0.266  0.06

=====

# 6
First-principles (PBE-GGA) data for crystalline Sc12In3Hg at its relaxed geometry, as listed in the Alexandria database.

Formation energy (eV per atom): -0.27
Calculated volume (Å³ per atom): 22.9
Total moment (μB per cell): 5.59
Energy (Ry per atom): -0.4081

Cell: 4.508 4.508 18.034 Å, 90.00 90.00 90.00°
Last column: magnetic moment on the atom in μB.
Positions (direct):
Sc  0.500  0.500  0.000  0.25
Sc  0.500  0.500  0.249  0.34
Sc  0.500  0.500  0.500  0.35
Sc  0.500  0.500  0.751  0.34
Sc  0.500  0.000  0.123  0.30
Sc  0.500  0.000  0.374  0.35
Sc  0.500  0.000  0.626  0.35
Sc  0.500  0.000  0.877  0.30
Sc  0.000  0.500  0.123  0.30
Sc  0.000  0.500  0.374  0.35
Sc  0.000  0.500  0.626  0.35
Sc  0.000  0.500  0.877  0.30
In  0.000  0.000  0.248  -0.03
In  0.000  0.000  0.500  -0.03
In  0.000  0.000  0.752  -0.03
Hg  0.000  0.000  0.000  -0.01